Material: NaHfRh2S
Method: DFT, PBEsol
State: relaxed

Formation energy from raw total energies (eV/atom): 1.066
Size of the total moment (μB per cell): 0.00

Cell: 4.6355 4.6355 5.6075 Å, 90.00 90.00 90.00°
Closest atoms and distances in Å follow each position.
Sites, in units of the cell vectors:
Hf: 0.0000 0.0000 0.0000  4 Rh 2.32
Na: 0.0000 0.0000 0.5000  2 Hf 2.80
Rh: 0.5000 0.0000 0.0000  2 Hf 2.32
S: 0.5000 0.5000 0.5000  4 Na 3.28, 8 Rh 3.64
Rh: 0.0000 0.5000 0.0000  2 Hf 2.32